(1)
Computed, not measured: CeGa4Pt8 after structural relaxation at the PBE level of DFT.

It has space group I4/mmm (No. 139), with a = 8.8355 Å, b = 8.8355 Å, c = 5.5295 Å, α = 90.00°, β = 90.00° and γ = 90.00°. The inequivalent atoms are Ce at (0.0000, 0.0000, 0.0000), Ga at (0.2500, 0.2500, 0.2500), Pt at (0.0000, 0.2265, 0.5000) and Pt at (0.0000, 0.3298, 0.0000).

The calculation puts the raw total energy at -5.768 eV/atom. For the size of the total moment, the calculation gives 0.6 μB per cell.

(2)
Computed, not measured: BaWS4 after structural relaxation at the PBE level of DFT.

It has space group P2_1/c (No. 14), with a = 8.2182 Å, b = 9.7403 Å, c = 10.9788 Å, α = 90.00°, β = 124.98° and γ = 90.00°. The inequivalent atoms are Ba at (0.1662, 0.1701, 0.2700), W at (0.3101, 0.6737, 0.1988), S at (0.0928, 0.6546, 0.6151), S at (0.2124, 0.5102, 0.2827), S at (0.3347, 0.5999, 0.0214) and S at (0.3928, 0.2455, 0.1205).

The calculation puts the raw total energy at -6.304 eV/atom. The calculation puts the formation energy without anion corrections at -1.073 eV/atom. For the size of the total moment, the calculation gives 0.0 μB per cell.